Computed, not measured: crystalline AlHgOF2 at its relaxed geometry at the GGA-PBE level of DFT.

```
AlHgOF2
1.0
4.557 0.000 0.000
0.000 4.557 0.000
0.000 0.000 4.189
Hg F Al O
1 2 1 1
Direct
0.000 0.000 0.000 Hg
0.000 0.500 0.000 F
0.500 0.000 0.000 F
0.500 0.500 0.500 Al
0.000 0.000 0.500 O
```

Properties
* energy relative to the lowest polymorph listed for this composition: 1.431 eV per atom
* formation energy without anion corrections: -0.6081 eV/atom
* SG: P4/mmm (123)

Computed, not measured: crystalline Be2CuHg at its relaxed geometry at the GGA-PBE level of DFT.

```
Be2CuHg
1.0
2.938 0.000 0.000
0.000 2.938 0.000
0.000 0.000 5.791
Hg Be Cu
1 2 1
Direct
0.500 0.500 0.771 Hg
0.000 0.000 0.051 Be
0.500 0.500 0.243 Be
0.000 0.000 0.434 Cu
```

Properties
* formation energy from the elements: 0.242 eV/atom
* SG: P4mm (99)

Computed, not measured: crystalline KLa2Ni at its relaxed geometry at the GGA-PBE level of DFT.

```
KLa2Ni
1.0
-3.384 -1.285 -2.041
-0.462 -4.023 -0.932
-6.631 -3.455 8.939
Ni La K
1 2 1
Direct
0.500 0.500 0.500 Ni
0.123 0.123 0.630 La
0.877 0.877 0.370 La
0.000 0.000 0.000 K
```

Properties
* energy relative to the lowest polymorph listed for this composition: 0.035 eV per atom
* formation energy from the elements: -0.024 eV/atom
* SG: R-3m (166)

Computed, not measured: crystalline Sc2BeAu4 at its relaxed geometry at the GGA-PBE level of DFT.

```
Sc2BeAu4
1.0
4.394 0.000 0.000
0.000 4.394 0.000
2.197 2.197 7.169
Be Au Sc
1 4 2
Direct
0.000 0.000 0.000 Be
0.000 0.500 0.000 Au
0.834 0.834 0.331 Au
0.166 0.166 0.669 Au
0.500 0.000 0.000 Au
0.354 0.354 0.291 Sc
0.646 0.646 0.709 Sc
```

Properties
* formation energy from the elements: -0.324 eV/atom
* SG: I4/mmm (139)

Computed, not measured: crystalline ThZr2RhN4 at its relaxed geometry at the GGA-PBE level of DFT.

```
ThZr2RhN4
1.0
-0.964 -1.368 -2.857
5.879 -0.737 0.288
-1.505 -9.947 5.271
Th N Zr Rh
2 8 4 2
Direct
0.888 0.776 0.250 Th
0.112 0.224 0.750 Th
0.000 0.000 0.500 N
0.278 0.556 0.113 N
0.278 0.556 0.387 N
0.540 0.080 0.250 N
0.722 0.444 0.887 N
0.722 0.444 0.613 N
0.460 0.920 0.750 N
0.000 0.000 0.000 N
0.629 0.259 0.053 Zr
0.371 0.741 0.947 Zr
0.629 0.259 0.447 Zr
0.371 0.741 0.553 Zr
0.151 0.301 0.250 Rh
0.849 0.699 0.750 Rh
```

Properties
* formation energy without anion corrections: -1.1964 eV/atom
* SG: Cmcm (63)

Computed, not measured: crystalline Zr2VSnC at its relaxed geometry at the GGA-PBE level of DFT.

```
Zr2VSnC
1.0
4.660 0.000 0.000
0.000 4.660 0.000
0.000 0.000 3.975
C Zr V Sn
1 2 1 1
Direct
0.000 0.000 0.000 C
0.500 0.000 0.000 Zr
0.000 0.500 0.000 Zr
0.000 0.000 0.500 V
0.500 0.500 0.500 Sn
```

Properties
* formation energy from the elements: -0.459 eV/atom
* SG: P4/mmm (123)

Computed, not measured: crystalline Y3AlZn2 at its relaxed geometry at the GGA-PBE level of DFT.

```
Y3AlZn2
1.0
3.577 0.000 0.000
0.000 3.577 0.000
0.000 0.000 10.863
Zn Al Y
2 1 3
Direct
0.500 0.500 0.837 Zn
0.500 0.500 0.163 Zn
0.500 0.500 0.500 Al
0.000 0.000 0.671 Y
0.000 0.000 0.000 Y
0.000 0.000 0.329 Y
```

Properties
* energy relative to the lowest polymorph listed for this composition: 0.002 eV per atom
* formation energy from the elements: -0.385 eV/atom
* SG: P4/mmm (123)

Computed, not measured: crystalline CuPtSe3 at its relaxed geometry at the GGA-PBE level of DFT.

```
CuPtSe3
1.0
6.421 -0.081 -1.580
-3.774 5.196 -1.580
-0.220 -0.426 6.571
Se Cu Pt
6 2 2
Direct
0.002 0.002 0.247 Se
0.723 0.367 0.251 Se
0.998 0.998 0.753 Se
0.277 0.633 0.749 Se
0.633 0.277 0.749 Se
0.367 0.723 0.251 Se
0.335 0.335 0.188 Cu
0.665 0.665 0.812 Cu
0.167 0.833 0.500 Pt
0.833 0.167 0.500 Pt
```

Properties
* energy relative to the lowest polymorph listed for this composition: 0.000 eV per atom
* formation energy without anion corrections: -0.2357 eV/atom
* SG: C2/m (12)

Computed, not measured: crystalline HfInCoTc at its relaxed geometry at the GGA-PBE level of DFT.

```
HfInCoTc
1.0
-2.686 -3.583 -0.661
1.726 -3.851 -1.638
0.372 -3.632 2.676
In Hf Tc Co
1 1 1 1
Direct
0.000 0.000 0.000 In
0.500 0.500 0.500 Hf
0.250 0.250 0.250 Tc
0.750 0.750 0.750 Co
```

Properties
* formation energy from the elements: -0.110 eV/atom
* SG: F-43m (216)

Computed, not measured: crystalline Ti6Si2Sb at its relaxed geometry at the GGA-PBE level of DFT.

```
Ti6Si2Sb
1.0
6.882 0.015 -2.658
-3.885 6.098 -1.466
-0.402 -0.015 7.366
Ti Si Sb
12 4 2
Direct
0.294 0.620 0.325 Ti
0.499 0.295 0.204 Ti
0.092 0.295 0.796 Ti
0.294 0.969 0.675 Ti
0.706 0.031 0.325 Ti
0.792 0.250 0.042 Ti
0.792 0.750 0.542 Ti
0.208 0.750 0.958 Ti
0.706 0.380 0.675 Ti
0.501 0.705 0.796 Ti
0.908 0.705 0.204 Ti
0.208 0.250 0.458 Ti
0.500 0.626 0.126 Si
0.350 0.000 0.350 Si
0.650 0.000 0.650 Si
0.500 0.374 0.874 Si
0.000 0.500 0.500 Sb
0.000 0.000 0.000 Sb
```

Properties
* formation energy without anion corrections: -0.5153 eV/atom
* SG: Immm (71)

Computed, not measured: crystalline CaMn2Se at its relaxed geometry at the GGA-PBE level of DFT.

```
CaMn2Se
1.0
-2.038 -1.144 -5.504
1.178 -5.104 -2.885
-2.299 2.577 4.881
Ca Mn Se
1 2 1
Direct
0.250 0.750 0.500 Ca
0.534 0.534 0.000 Mn
0.966 0.966 0.000 Mn
0.750 0.250 0.500 Se
```

Properties
* formation energy without anion corrections: -0.0422 eV/atom
* SG: Immm (71)

Computed, not measured: crystalline Mn2TeAu at its relaxed geometry at the GGA-PBE level of DFT.

```
Mn2TeAu
1.0
5.473 0.011 -0.060
2.599 4.817 0.060
-4.013 -2.453 2.801
Au Te Mn
1 1 2
Direct
0.750 0.250 0.500 Au
0.500 0.500 0.000 Te
0.000 0.000 0.000 Mn
0.250 0.750 0.500 Mn
```

Properties
* formation energy without anion corrections: 0.2049 eV/atom
* SG: Imm2 (44)

Magnetization (computed, μB per formula unit): 0.000; 0.000; 0.000; 0.000; 0.000; 0.000; 0.000; 0.000; 0.387; 0.000; 8.101; 7.935
Total energy (computed, eV for the cell shown): -15.79; -10.88; -16.83; -31.77; -149.48; -41.74; -27.99; -43.54; -30.60; -133.95; -23.99; -23.94